Record 1
Material: TaFeTc2
Method: DFT, GGA-PBE
State: optimized geometry

Lattice parameters (Å, degrees): 2.7554 2.7554 27.1080 90.00 90.00 120.00
Space group R-3m (No. 166, hexagonal axes)
Symmetry-distinct sites (fractional):
Ta 0.0000 0.0000 0.0000 [3 per cell]
Fe 0.0000 0.0000 0.5000 [3 per cell]
Tc 0.0000 0.0000 0.2424 [6 per cell]

N(E_F)	14.15	states/eV/cell

Record 2
Material: TaFeTc
Method: DFT, GGA-PBE
State: optimized geometry

Lattice parameters (Å, degrees): 2.751 2.751 11.461 90.00 90.00 90.00
Space group I4mm (No. 107)
Symmetry-distinct sites (fractional):
Ta 0.000 0.000 0.000 [2 per cell]
Fe 0.000 0.000 0.668 [2 per cell]
Tc 0.000 0.000 0.305 [2 per cell]

relative energy among the computed polymorphs	0.0952	eV per atom
N(E_F)	6.91	states/eV/cell

Number 1: formation energy from the elements 0.21 eV per atom, uncorrected energy -0.3696 hartree per atom, magnetic moment 1.7 μB/f.u.. Number 2: formation energy from the elements 0.02 eV per atom, uncorrected energy -0.3750 hartree per atom, magnetic moment 0.5 μB/f.u..